<P>
# Dy2Ge3Pd GGA-PBE relaxed
data_Dy2Ge3Pd
_space_group_name_H-M_alt 'P m m 2'
_space_group_IT_number 25
_space_group_name_Hall 'P 2 -2'
_cell_length_a 3.922
_cell_length_b 4.418
_cell_length_c 7.201
_cell_angle_alpha 90.00
_cell_angle_beta 90.00
_cell_angle_gamma 90.00
loop_
_atom_site_label
_atom_site_type_symbol
_atom_site_fract_x
_atom_site_fract_y
_atom_site_fract_z
Dy1 Dy 0.000 0.000 0.000
Dy2 Dy 0.000 0.500 0.493
Ge1 Ge 0.500 0.000 0.327
Ge2 Ge 0.500 0.000 0.670
Ge3 Ge 0.500 0.500 0.161
Pd1 Pd 0.500 0.500 0.822
# - Calculated volume: 124.8 Å³/cell


<Q>
# Dy2Ge3Pd GGA-PBE relaxed
data_Dy2Ge3Pd
_space_group_name_H-M_alt 'C 1 m 1'
_space_group_IT_number 8
_space_group_name_Hall 'C -2y'
_cell_length_a 10.630
_cell_length_b 4.312
_cell_length_c 6.939
_cell_angle_alpha 90.00
_cell_angle_beta 130.46
_cell_angle_gamma 90.00
loop_
_atom_site_label
_atom_site_type_symbol
_atom_site_fract_x
_atom_site_fract_y
_atom_site_fract_z
Dy1 Dy 0.000 0.000 0.000
Dy2 Dy 0.116 0.000 0.624
Ge1 Ge 0.218 0.500 0.021
Ge2 Ge 0.387 0.000 0.584
Ge3 Ge 0.426 0.000 0.209
Pd1 Pd 0.230 0.500 0.414
# - Calculated volume: 242.0 Å³/cell


Relative energies in kJ/mol of atoms: <P> 0.0; <Q> 1.5